Density functional theory data (PBE) for SrMn2Br after structural relaxation.

Computed properties:
* offset from the most stable computed form: 471 meV/atom
* spin magnetization: 8.93 μB/f.u.
* energy relative to the elements, uncorrected: 475 meV per atom

abc: 3.522 3.522 8.530
angles: 90.00 90.00 90.00
Space group P4/mmm (No. 123)
One atom of each set of equivalent atoms:
Sr: 0.000 0.000 0.000 [1 per cell]
Mn: 0.500 0.500 0.281 [2 per cell]
Br: 0.000 0.000 0.500 [1 per cell]